This record from Alexandria describes a geometry-optimized ErTiFe10 structure. The functional is PBE.

a = 3.9796 Å, b = 4.8257 Å, c = 8.3447 Å
α = 90.00°, β = 90.00°, γ = 90.00°
Last column: nearest neighbours and their distance in Å.
Space group Pmmm (No. 47)
One atom of each set of equivalent atoms:
Er (0.0000, 0.0000, 0.0000) (multiplicity 1)  18 Fe 2.84-3.17
Ti (0.0000, 0.5000, 0.5000) (multiplicity 1)  6 Fe 2.68-2.75
Fe (0.0000, 0.0000, 0.3428) (multiplicity 2)  7 Fe 2.38-2.62
Fe (0.0000, 0.5000, 0.1793) (multiplicity 2)  6 Fe 2.41-2.49, 1 Ti 2.68
Fe (0.5000, 0.0000, 0.5000) (multiplicity 1)  8 Fe 2.37-2.38
Fe (0.5000, 0.2518, 0.2565) (multiplicity 4)  8 Fe 2.37-2.45
Fe (0.5000, 0.5000, 0.0000) (multiplicity 1)  8 Fe 2.45-2.49

Results
Total magnetization in μB/cell: 18.08
Uncorrected energy in eV for the cell shown: -97.23